Compound: AlCoSiRu
Source: the Alexandria database
Functional: PBE
Structure: relaxed

The structure in extended XYZ format:
```
4
Lattice="2.944 0.000 0.000 0.000 4.035 0.000 0.000 0.000 4.068" Properties=species:S:1:pos:R:3 pbc="T T T"
Al 1.472 0.000 2.034
Co 0.000 2.018 2.034
Si 1.472 2.018 0.000
Ru 0.000 0.000 0.000
```

## Properties
Formation energy (no corrections) = -0.629 eV per atom
Calculated total energy = -7.016 eV/atom
SG = Pmmm, No. 47